# PBE KCaPt, relaxed
data_KCaPt
_space_group_name_H-M_alt 'F -4 3 m'
_space_group_IT_number 216
_space_group_name_Hall 'F -4 2 3'
_cell_length_a 7.230
_cell_length_b 7.230
_cell_length_c 7.230
_cell_angle_alpha 90.00
_cell_angle_beta 90.00
_cell_angle_gamma 90.00
loop_
_atom_site_label
_atom_site_type_symbol
_atom_site_fract_x
_atom_site_fract_y
_atom_site_fract_z
_atom_site_occupancy
K1 K 0.000 0.000 0.000 1
Ca1 Ca 0.000 0.000 0.500 1
Pt1 Pt 0.250 0.250 0.750 1
# Energy of formation (eV per atom): -0.21